Entry 1:
DFT (PBE) results for crystalline Ti2NbOs at its relaxed geometry.

**Symmetry**: P4/mmm (123)
**Formation enthalpy at 0 K**: -0.348 eV/atom
**Total energy**: -9.620 eV/atom

Cell lengths 3.089, 3.089, 6.770 Å; angles 90.00, 90.00, 90.00 degrees
Atoms (fractional coordinates):
Os 0.500 0.500 0.000
Nb 0.500 0.500 0.500
Ti 0.000 0.000 0.773
Ti 0.000 0.000 0.227



Entry 2:
DFT (PBE) results for crystalline LaSmTeAs at its relaxed geometry.

**Symmetry**: R3m (160)
**ΔE_f (raw)**: -1.53 eV per atom
**Total energy**: -5.894 eV/atom

Cell lengths 4.301, 4.302, 8.019 Å; angles 90.00, 105.55, 120.00 degrees
Atoms (fractional coordinates):
As 0.300 0.548 0.863
La 0.114 0.955 0.084
Sm 0.491 0.143 0.650
Te 0.973 0.385 0.373



Entry 3:
DFT (PBE) results for crystalline Y2MnNi at its relaxed geometry.

**Symmetry**: P4mm (99)
**Formation enthalpy at 0 K**: 0.033 eV/atom
**Total energy**: -6.937 eV/atom

Cell lengths 3.336, 3.336, 7.789 Å; angles 90.00, 90.00, 89.99 degrees
Atoms (fractional coordinates):
Ni 0.500 0.500 0.707
Y 0.500 0.500 0.306
Y 0.000 0.000 0.929
Mn 0.000 0.000 0.558



Asked for V across the records above, the calculation gives 16.15; 30.54; 21.67 Å³/atom in order.